## RbAu3Se (GGA-PBE)

Data for a geometry-optimized RbAu3Se structure.

Cell: 5.2691 5.2691 5.2691 Å, 90.00 90.00 90.00°
With the nearest neighbours (Å) after each atom.
Space group Pm-3m (No. 221)
Asymmetric unit:
Rb1 0.0000 0.0000 0.0000 [1 per cell]  12 Au 3.73
Au1 0.0000 0.5000 0.5000 [3 per cell]  2 Se 2.63
Se1 0.5000 0.5000 0.5000 [1 per cell]  6 Au 2.63

Values from the calculation:
- raw formation energy (eV/atom) = -0.02
- crystal system = cubic
- E above lowest polymorph (eV per formula unit) = 0.00

---

## NaAgAu (GGA-PBE)

Data for a geometry-optimized NaAgAu structure.

Cell: 3.6209 3.6209 9.2876 Å, 90.00 90.00 90.00°
With the nearest neighbours (Å) after each atom.
Space group I4mm (No. 107)
Asymmetric unit:
Na1 0.0000 0.0000 0.0000 [2 per cell]  5 Ag 2.98-3.05, 5 Au 3.02-3.04
Ag1 0.0000 0.0000 0.6792 [2 per cell]  4 Au 2.90, 5 Na 2.98-3.05
Au1 0.0000 0.0000 0.3269 [2 per cell]  4 Ag 2.90, 5 Na 3.02-3.04

Values from the calculation:
- DFT formation energy (eV/atom) = -0.086
- crystal system = tetragonal
- E above lowest polymorph (eV per formula unit) = 0.49

---

## LaY2Ho9 (GGA-PBE)

Data for a geometry-optimized LaY2Ho9 structure.

Cell: 5.0277 5.0277 15.1001 Å, 90.00 90.00 90.00°
With the nearest neighbours (Å) after each atom.
Space group P4/mmm (No. 123)
Asymmetric unit:
La1 0.0000 0.0000 0.0000 [1 per cell]  12 Ho 3.56-3.59
Y1 0.0000 0.0000 0.3341 [2 per cell]  12 Ho 3.53-3.56
Ho1 0.0000 0.5000 0.1698 [4 per cell]  2 Y 3.53, 8 Ho 3.55-3.59, 2 La 3.59
Ho2 0.0000 0.5000 0.5000 [2 per cell]  8 Ho 3.53-3.56, 4 Y 3.55
Ho3 0.5000 0.5000 0.0000 [1 per cell]  4 La 3.56, 8 Ho 3.59
Ho4 0.5000 0.5000 0.3355 [2 per cell]  8 Ho 3.53-3.55, 4 Y 3.56

Values from the calculation:
- DFT formation energy (eV/atom) = 0.029
- crystal system = tetragonal
- E above lowest polymorph (eV per formula unit) = 0.00

---

## Zn2TeBr (GGA-PBE)

Data for a geometry-optimized Zn2TeBr structure.

Cell: 4.0996 4.0996 5.6798 Å, 90.00 90.00 90.00°
With the nearest neighbours (Å) after each atom.
Space group P4/mmm (No. 123)
Asymmetric unit:
Zn1 0.0000 0.0000 0.0000 [1 per cell]  2 Te 2.84, 4 Br 2.90
Zn2 0.5000 0.5000 0.5000 [1 per cell]  2 Br 2.84, 4 Te 2.90
Te1 0.0000 0.0000 0.5000 [1 per cell]  6 Zn 2.84-2.90
Br1 0.5000 0.5000 0.0000 [1 per cell]  6 Zn 2.84-2.90

Values from the calculation:
- raw formation energy (eV/atom) = -0.27
- crystal system = tetragonal
- E above lowest polymorph (eV per formula unit) = 0.02

---

## Li2CoOs (GGA-PBE)

Data for a geometry-optimized Li2CoOs structure.

Cell: 2.5542 3.9420 5.2551 Å, 90.00 103.32 90.00°
With the nearest neighbours (Å) after each atom.
Space group Pm (No. 6)
Asymmetric unit:
Li1 0.0000 0.0000 0.0000 [1 per cell]  1 Co 2.46, 6 Li 2.55-2.59
Li2 0.3845 0.5000 0.7961 [1 per cell]  2 Co 2.55, 6 Li 2.55-2.59, 3 Os 2.69-2.73
Co1 0.2562 0.0000 0.4814 [1 per cell]  3 Li 2.46-2.55, 4 Os 2.47-2.48, 2 Co 2.55
Os1 0.6787 0.5000 0.3287 [1 per cell]  4 Co 2.47-2.48, 2 Os 2.55, 3 Li 2.69-2.73

Values from the calculation:
- DFT formation energy (eV/atom) = 0.133
- crystal system = monoclinic
- E above lowest polymorph (eV per formula unit) = 0.02

---

## ZnCr2Fe (GGA-PBE)

Data for a geometry-optimized ZnCr2Fe structure.

Cell: 2.4474 4.0262 4.9327 Å, 90.00 100.20 90.00°
With the nearest neighbours (Å) after each atom.
Space group Pm (No. 6)
Asymmetric unit:
Zn1 0.0000 0.0000 0.0000 [1 per cell]  2 Zn 2.45, 2 Fe 2.50, 4 Cr 2.55-2.57
Cr1 0.5082 0.0000 0.4973 [1 per cell]  4 Cr 2.41-2.45, 2 Fe 2.50, 2 Zn 2.55-2.56
Cr2 0.7002 0.5000 0.2616 [1 per cell]  4 Cr 2.41-2.45, 2 Fe 2.54-2.57, 2 Zn 2.57
Fe1 0.2571 0.5000 0.7490 [1 per cell]  2 Fe 2.45, 4 Cr 2.50-2.57, 2 Zn 2.50

Values from the calculation:
- DFT formation energy (eV/atom) = 0.162
- crystal system = monoclinic

---

## CeGaNiAu (GGA-PBE)

Data for a geometry-optimized CeGaNiAu structure.

Cell: 6.6543 6.6543 6.6543 Å, 90.00 90.00 90.00°
With the nearest neighbours (Å) after each atom.
Space group F-43m (No. 216)
Asymmetric unit:
Ce1 0.0000 0.0000 0.0000 [4 per cell]  4 Ni 2.88, 4 Ga 2.88
Ga1 0.2500 0.2500 0.2500 [4 per cell]  4 Ce 2.88, 4 Au 2.88
Ni1 0.2500 0.2500 0.7500 [4 per cell]  4 Ce 2.88, 4 Au 2.88
Au1 0.0000 0.0000 0.5000 [4 per cell]  4 Ga 2.88, 4 Ni 2.88

Values from the calculation:
- DFT formation energy (eV/atom) = -0.349
- crystal system = cubic

---

> Which formula does entry 1 have?

RbAu3Se

---

Repeat the fifth record exactly.
## Li2CoOs (GGA-PBE)

Data for a geometry-optimized Li2CoOs structure.

Cell: 2.5542 3.9420 5.2551 Å, 90.00 103.32 90.00°
With the nearest neighbours (Å) after each atom.
Space group Pm (No. 6)
Asymmetric unit:
Li1 0.0000 0.0000 0.0000 [1 per cell]  1 Co 2.46, 6 Li 2.55-2.59
Li2 0.3845 0.5000 0.7961 [1 per cell]  2 Co 2.55, 6 Li 2.55-2.59, 3 Os 2.69-2.73
Co1 0.2562 0.0000 0.4814 [1 per cell]  3 Li 2.46-2.55, 4 Os 2.47-2.48, 2 Co 2.55
Os1 0.6787 0.5000 0.3287 [1 per cell]  4 Co 2.47-2.48, 2 Os 2.55, 3 Li 2.69-2.73

Values from the calculation:
- DFT formation energy (eV/atom) = 0.133
- crystal system = monoclinic
- E above lowest polymorph (eV per formula unit) = 0.02

---

> Number 2 is which compound?

NaAgAu